Entry 1:
# UIBr4 (PBE, optimized geometry)
# * E_form (uncorrected): -496 kJ/mol of formula units
# * spin magnetization: 0.948 μB per formula unit
# * relative energy among the computed polymorphs: 226 meV/atom
data_UIBr4
_space_group_name_H-M_alt 'P 1'
_space_group_IT_number 1
_space_group_name_Hall 'P 1'
_cell_length_a 8.6406
_cell_length_b 8.6406
_cell_length_c 7.9708
_cell_angle_alpha 92.19
_cell_angle_beta 92.19
_cell_angle_gamma 49.17
loop_
_atom_site_label
_atom_site_fract_x
_atom_site_fract_y
_atom_site_fract_z
U1 0.0431 0.0431 0.2177
U2 0.9569 0.9569 0.7823
I1 0.3632 0.3632 0.7489
I2 0.6368 0.6368 0.2511
Br1 0.1287 0.6842 0.0909
Br2 0.2054 0.2054 0.3182
Br3 0.2290 0.7710 0.5000
Br4 0.3158 0.8713 0.9091
Br5 0.6842 0.1287 0.0909
Br6 0.7710 0.2290 0.5000
Br7 0.7946 0.7946 0.6818
Br8 0.8713 0.3158 0.9091


Entry 2:
# UIBr (PBE, optimized geometry)
# * E_form (uncorrected): -209 kJ/mol of formula units
# * spin magnetization: 3.746 μB per formula unit
# * relative energy among the computed polymorphs: 0 meV/atom
data_UIBr
_space_group_name_H-M_alt 'P 1'
_space_group_IT_number 1
_space_group_name_Hall 'P 1'
_cell_length_a 30.1579
_cell_length_b 3.6834
_cell_length_c 3.6821
_cell_angle_alpha 90.00
_cell_angle_beta 90.28
_cell_angle_gamma 90.00
loop_
_atom_site_label
_atom_site_fract_x
_atom_site_fract_y
_atom_site_fract_z
U1 0.1350 0.0000 0.2440
U2 0.3650 0.5000 0.7560
U3 0.6350 0.5000 0.2440
U4 0.8650 0.0000 0.7560
I1 0.0708 0.5000 0.7415
I2 0.4292 0.0000 0.2585
I3 0.5708 0.0000 0.7415
I4 0.9292 0.5000 0.2585
Br1 0.1917 0.5000 0.7464
Br2 0.3083 0.0000 0.2536
Br3 0.6917 0.0000 0.7464
Br4 0.8083 0.5000 0.2536